VASP calculation (PBE-GGA) on a geometry-optimized Fe2PC structure.

Output
Theoretical density: 6.649 g/cm3
DOS at the Fermi energy: 1.7 states/eV/cell
ΔE_f: 1.55 kJ per mole of atoms

a b c (Å): 2.521 2.802 5.469
angles (deg): 90.00 90.00 90.00
Positions (direct):
Fe 0.000 0.000 0.000
Fe 0.000 0.500 0.410
P 0.500 0.000 0.642
C 0.500 0.500 0.131